DFT (GGA-PBE) results for a geometry-optimized CePu2TaO8 structure.

Geometry as POSCAR:
```
CePu2TaO8
1.0
5.064 -0.038 -0.003
-0.002 5.063 -0.006
0.004 0.008 6.946
Pu O Ta Ce
2 8 1 1
direct
0.500 0.500 0.757 Pu
0.500 0.500 0.243 Pu
0.816 0.184 0.781 O
0.816 0.184 0.219 O
0.715 0.715 0.000 O
0.315 0.314 0.500 O
0.285 0.285 0.000 O
0.184 0.816 0.219 O
0.685 0.686 0.500 O
0.184 0.816 0.781 O
0.000 0.000 0.000 Ta
0.000 0.000 0.500 Ce
```

Computed properties:
* DFT total energy: -122.943 eV per formula unit
* uncorrected formation energy: -3.07 eV per atom
* DOS(E_F): 13.3 states/eV/f.u.
* SG: No. 65

DFT (GGA-PBE) results for a geometry-optimized Tb2CePuO8 structure.

Geometry as POSCAR:
```
Tb2CePuO8
1.0
-2.006 2.024 2.545
-1.899 -4.573 2.127
5.868 -0.194 4.781
O Tb Pu Ce
8 2 1 1
direct
0.999 0.240 0.769 O
0.501 0.771 0.000 O
0.500 0.248 0.499 O
0.500 0.752 0.501 O
0.999 0.239 0.230 O
0.499 0.229 0.000 O
0.001 0.761 0.770 O
0.001 0.760 0.231 O
0.500 0.500 0.751 Tb
0.500 0.500 0.249 Tb
0.000 0.000 0.000 Pu
0.000 0.000 0.500 Ce
```

Computed properties:
* DFT total energy: -107.581 eV per formula unit
* uncorrected formation energy: -3.20 eV per atom
* DOS(E_F): 6.4 states/eV/f.u.
* SG: No. 2

DFT (GGA-PBE) results for a geometry-optimized CePuTe2O structure.

Geometry as POSCAR:
```
CePuTe2O
1.0
-3.669 1.559 -1.365
0.355 -2.263 -3.537
-7.737 -12.106 6.972
Pu Te O Ce
2 4 2 2
direct
0.500 0.000 0.565 Pu
0.000 0.500 0.435 Pu
0.500 0.000 0.918 Te
0.000 0.500 0.082 Te
0.500 0.000 0.324 Te
0.000 0.500 0.676 Te
0.500 0.500 0.500 O
0.000 0.000 0.500 O
0.500 0.000 0.135 Ce
0.000 0.500 0.865 Ce
```

Computed properties:
* DFT total energy: -40.479 eV per formula unit
* uncorrected formation energy: -1.79 eV per atom
* DOS(E_F): 12.3 states/eV/f.u.
* SG: No. 129

DFT (GGA-PBE) results for a geometry-optimized CePuTeO2 structure.

Geometry as POSCAR:
```
CePuTeO2
1.0
4.006 0.000 0.000
0.000 4.006 0.000
-2.003 -2.003 6.357
Te O Ce Pu
1 2 1 1
direct
0.502 0.502 0.004 Te
0.251 0.751 0.502 O
0.751 0.251 0.502 O
0.841 0.841 0.683 Ce
0.155 0.155 0.310 Pu
```

Computed properties:
* DFT total energy: -46.707 eV per formula unit
* uncorrected formation energy: -2.68 eV per atom
* DOS(E_F): 12.4 states/eV/f.u.
* SG: No. 107

DFT (GGA-PBE) results for a geometry-optimized CePuTl2O6 structure.

Geometry as POSCAR:
```
CePuTl2O6
1.0
-4.796 1.523 3.568
-3.596 -3.872 -3.182
2.056 -6.440 5.513
O Tl Ce Pu
12 4 2 2
direct
0.000 0.750 0.239 O
0.761 0.989 0.000 O
0.500 0.250 0.739 O
0.239 0.511 0.000 O
0.000 0.750 0.761 O
0.261 0.011 0.500 O
0.261 0.489 0.500 O
0.239 0.989 0.000 O
0.739 0.011 0.500 O
0.761 0.511 0.000 O
0.739 0.489 0.500 O
0.500 0.250 0.261 O
0.500 0.750 0.750 Tl
0.500 0.750 0.250 Tl
0.000 0.250 0.250 Tl
0.000 0.250 0.750 Tl
0.000 0.750 0.500 Ce
0.500 0.250 0.000 Ce
0.500 0.250 0.500 Pu
0.000 0.750 0.000 Pu
```

Computed properties:
* DFT total energy: -76.960 eV per formula unit
* uncorrected formation energy: -2.22 eV per atom
* DOS(E_F): 7.4 states/eV/f.u.
* SG: No. 225

DFT (GGA-PBE) results for a geometry-optimized CePu3Tl4O12 structure.

Geometry as POSCAR:
```
CePu3Tl4O12
1.0
-2.641 -3.782 5.932
-2.317 -3.327 -6.326
7.512 0.046 0.200
Tl O Pu Ce
4 12 3 1
direct
0.500 0.000 0.000 Tl
0.000 0.500 0.000 Tl
0.500 0.500 0.500 Tl
0.000 0.000 0.500 Tl
0.500 0.250 0.750 O
0.262 0.262 0.000 O
0.750 0.250 0.500 O
0.738 0.738 0.000 O
0.750 0.500 0.250 O
0.000 0.738 0.738 O
0.000 0.262 0.262 O
0.738 0.000 0.738 O
0.250 0.750 0.500 O
0.250 0.500 0.750 O
0.262 0.000 0.262 O
0.500 0.750 0.250 O
0.000 0.500 0.500 Pu
0.500 0.500 0.000 Pu
0.500 0.000 0.500 Pu
0.000 0.000 0.000 Ce
```

Computed properties:
* DFT total energy: -161.875 eV per formula unit
* uncorrected formation energy: -2.20 eV per atom
* DOS(E_F): 14.1 states/eV/f.u.
* SG: No. 229

DFT (GGA-PBE) results for a geometry-optimized CeTm2PuO8 structure.

Geometry as POSCAR:
```
CeTm2PuO8
1.0
-3.110 0.528 -3.888
3.209 -2.638 -2.791
-3.307 -5.964 1.834
O Tm Ce Pu
8 2 1 1
direct
0.293 0.292 0.000 O
0.308 0.307 0.500 O
0.186 0.813 0.229 O
0.707 0.708 0.000 O
0.186 0.813 0.771 O
0.814 0.187 0.229 O
0.692 0.693 0.500 O
0.814 0.187 0.771 O
0.500 0.500 0.251 Tm
0.500 0.500 0.749 Tm
0.000 0.000 0.500 Ce
0.000 0.000 0.000 Pu
```

Computed properties:
* DFT total energy: -107.269 eV per formula unit
* uncorrected formation energy: -3.20 eV per atom
* DOS(E_F): 7.9 states/eV/f.u.
* SG: No. 65

DFT (GGA-PBE) results for a geometry-optimized CePuUO6 structure.

Geometry as POSCAR:
```
CePuUO6
1.0
-3.697 -4.639 -0.083
3.509 0.913 4.695
-6.595 5.185 3.921
O Pu U Ce
12 2 2 2
direct
0.021 0.669 0.867 O
0.647 0.979 0.867 O
0.353 0.331 0.367 O
0.021 0.353 0.633 O
0.669 0.647 0.133 O
0.647 0.669 0.633 O
0.353 0.021 0.133 O
0.331 0.979 0.633 O
0.669 0.021 0.367 O
0.979 0.331 0.133 O
0.331 0.353 0.867 O
0.979 0.647 0.367 O
0.000 0.000 0.000 Pu
0.000 0.000 0.500 Pu
0.667 0.333 0.250 U
0.333 0.667 0.750 U
0.333 0.667 0.250 Ce
0.667 0.333 0.750 Ce
```

Computed properties:
* DFT total energy: -89.666 eV per formula unit
* uncorrected formation energy: -3.15 eV per atom
* DOS(E_F): 14.0 states/eV/f.u.
* SG: No. 163